Entry 1:
Material: BaTe2Pt
Method: DFT, SCAN
State: PBEsol geometry

- Calculated density: 7.16 g/cm³
- Electronic total energy: -3.46247 Ry per atom
- Energy relative to the elements, uncorrected: -1.048 eV/atom
- Spin magnetization: 0.00 μB per formula unit

Structure (POSCAR):
```
BaTe2Pt
1.0
6.083 -2.099 0.000
6.083 2.099 0.000
-0.010 0.000 5.339
Ba Te Pt
1 2 1
Direct
0.000 0.000 0.000
0.192 0.192 0.501
0.461 0.461 0.500
0.826 0.826 0.500
```



Entry 2:
Material: BaTi3Pt
Method: DFT, SCAN
State: PBEsol geometry

- Calculated density: 6.60 g/cm³
- Electronic total energy: -2.31133 Ry per atom
- Spin magnetization: 0.00 μB per formula unit
- ΔE_f: 0.60 eV/f.u.

Structure (POSCAR):
```
BaTi3Pt
1.0
4.930 0.000 0.000
0.000 4.930 0.000
0.000 0.000 4.930
Ba Ti Pt
1 3 1
Direct
0.000 0.000 0.000
0.000 0.500 0.500
0.500 0.000 0.500
0.500 0.500 0.000
0.500 0.500 0.500
```